(1)
Computed, not measured: a relaxed VOsNCl2 crystal at the GGA-PBE level of DFT.

abc: 5.0326 5.0326 3.6991
angles: 90.00 90.00 90.00
Last column: nearest neighbours and their distance in Å.
Sites, in units of the cell vectors:
V 0.0000 0.0000 0.0000  8 Cl 3.12
Os 0.5000 0.5000 0.5000  2 N 1.85
N 0.5000 0.5000 0.0000  2 Os 1.85
Cl 0.0000 0.5000 0.5000  2 Os 2.52
Cl 0.5000 0.0000 0.5000  2 Os 2.52

As for the space group: No. 123. The crystal system is tetragonal. The value obtained for the total energy is -29.3 eV per formula unit. The density of states at the Fermi level is 6.06 states/eV per cell.


(2)
Computed, not measured: a relaxed YOsN2Cl crystal at the GGA-PBE level of DFT.

abc: 4.2697 4.2697 4.2158
angles: 90.00 90.00 90.00
Last column: nearest neighbours and their distance in Å.
Sites, in units of the cell vectors:
Y 0.0000 0.0000 0.0000  8 N 3.00, 4 Os 3.02
Os 0.5000 0.5000 0.0000  2 Cl 2.11
N 0.0000 0.5000 0.5000  2 Cl 2.13
N 0.5000 0.0000 0.5000  2 Cl 2.13
Cl 0.5000 0.5000 0.5000  2 Os 2.11, 4 N 2.13

As for the space group: No. 123. The crystal system is tetragonal. The value obtained for the total energy is -27.4 eV per formula unit. The density of states at the Fermi level is 5.33 states/eV per cell.


(3)
Computed, not measured: a relaxed PNCl2 crystal at the GGA-PBE level of DFT.

abc: 4.5151 4.5151 4.5151
angles: 60.00 60.00 60.00
Last column: nearest neighbours and their distance in Å.
Sites, in units of the cell vectors:
P 0.0000 0.0000 0.0000  8 Cl 2.76
N 0.5000 0.5000 0.5000  8 Cl 2.76
Cl 0.2500 0.2500 0.2500  4 N 2.76, 4 P 2.76
Cl 0.7500 0.7500 0.7500  4 N 2.76, 4 P 2.76

For the offset from the most stable computed form, the calculation gives 2.227 eV/atom. As for the space group: No. 225. The crystal system is cubic. The density of states at the Fermi level is 1.77 states/eV per cell.


(4)
Computed, not measured: a relaxed P3NCl crystal at the GGA-PBE level of DFT.

abc: 4.2377 4.2377 4.2377
angles: 90.00 90.00 90.00
Last column: nearest neighbours and their distance in Å.
Sites, in units of the cell vectors:
P 0.0000 0.0000 0.5000  2 N 2.12
P 0.0000 0.5000 0.0000  2 N 2.12
P 0.5000 0.0000 0.0000  2 N 2.12
N 0.0000 0.0000 0.0000  6 P 2.12
Cl 0.5000 0.5000 0.5000  12 P 3.00

For the offset from the most stable computed form, the calculation gives 0.000 eV/atom. As for the space group: No. 221. The crystal system is cubic. The density of states at the Fermi level is 5.29 states/eV per cell.


(5)
Computed, not measured: a relaxed PNCl crystal at the GGA-PBE level of DFT.

abc: 5.6352 3.5989 6.5726
angles: 90.00 97.13 90.00
Last column: nearest neighbours and their distance in Å.
Sites, in units of the cell vectors:
P 0.0097 0.2500 0.1525  3 N 1.69-1.85
P 0.9903 0.7500 0.8475  3 N 1.69-1.85
N 0.0534 0.7500 0.1063  3 P 1.69-1.85
N 0.9466 0.2500 0.8937  3 P 1.69-1.85
Cl 0.2900 0.7500 0.6965  1 P 2.06
Cl 0.7100 0.2500 0.3035  1 P 2.06

As for the space group: No. 11. The crystal system is monoclinic. The value obtained for the total energy is -15.4 eV per formula unit. The density of states at the Fermi level is 0.37 states/eV per cell.


(6)
Computed, not measured: a relaxed PN2Cl crystal at the GGA-PBE level of DFT.

abc: 5.2483 5.2483 5.2483
angles: 60.00 60.00 60.00
Last column: nearest neighbours and their distance in Å.
Sites, in units of the cell vectors:
P 0.1250 0.1250 0.1250  4 N 1.61
P 0.8750 0.8750 0.8750  4 N 1.61
N 0.0000 0.0000 0.0000  2 P 1.61
N 0.0000 0.0000 0.5000  2 P 1.61
N 0.0000 0.5000 0.0000  2 P 1.61
N 0.5000 0.0000 0.0000  2 P 1.61
Cl 0.3750 0.3750 0.3750  12 N 3.08, 4 P 3.21, 4 Cl 3.21
Cl 0.6250 0.6250 0.6250  12 N 3.08, 4 Cl 3.21, 4 P 3.21

For the offset from the most stable computed form, the calculation gives 0.000 eV/atom. As for the space group: No. 227. The crystal system is cubic. The density of states at the Fermi level is 5.03 states/eV per cell.


(7)
Computed, not measured: a relaxed PNCl2 crystal at the GGA-PBE level of DFT.

abc: 9.3947 9.3947 9.3947
angles: 20.70 20.70 20.70
Last column: nearest neighbours and their distance in Å.
Sites, in units of the cell vectors:
P 0.0000 0.0000 0.0000  2 Cl 2.13
N 0.5000 0.5000 0.5000  6 Cl 3.14, 6 N 3.38
Cl 0.0774 0.0774 0.0774  1 P 2.13
Cl 0.9226 0.9226 0.9226  1 P 2.13

For the offset from the most stable computed form, the calculation gives 1.981 eV/atom. As for the space group: No. 166. The crystal system is trigonal. The density of states at the Fermi level is 1.63 states/eV per cell.


(8)
Computed, not measured: a relaxed P2NCl crystal at the GGA-PBE level of DFT.

abc: 7.0433 7.0433 7.0433
angles: 142.64 142.64 53.87
Last column: nearest neighbours and their distance in Å.
Sites, in units of the cell vectors:
P 0.3750 0.1737 0.2987  2 N 1.95
P 0.8263 0.1250 0.2013  2 N 1.95
P 0.8750 0.0763 0.7013  2 N 1.95
P 0.9237 0.6250 0.7987  2 N 1.95
N 0.0000 0.0000 0.0000  4 P 1.95
N 0.7500 0.2500 0.5000  4 P 1.95
Cl 0.2500 0.7500 0.5000  8 P 2.81-3.14
Cl 0.5000 0.5000 0.0000  8 P 2.81-3.14

For the offset from the most stable computed form, the calculation gives 0.000 eV/atom. As for the space group: No. 122. The crystal system is tetragonal. The density of states at the Fermi level is 2.38 states/eV per cell.


(9)
Computed, not measured: a relaxed PN2Cl crystal at the GGA-PBE level of DFT.

abc: 3.9375 3.9375 3.9375
angles: 60.00 60.00 60.00
Last column: nearest neighbours and their distance in Å.
Sites, in units of the cell vectors:
P 0.0000 0.0000 0.0000  8 N 2.41
N 0.2500 0.2500 0.2500  4 Cl 2.41, 4 P 2.41
N 0.7500 0.7500 0.7500  4 Cl 2.41, 4 P 2.41
Cl 0.5000 0.5000 0.5000  8 N 2.41

For the offset from the most stable computed form, the calculation gives 1.965 eV/atom. As for the space group: No. 225. The crystal system is cubic. The density of states at the Fermi level is 2.85 states/eV per cell.


(10)
Computed, not measured: a relaxed P3NCl12 crystal at the GGA-PBE level of DFT.

abc: 12.2900 22.0228 16.5200
angles: 90.00 119.75 90.00
Last column: nearest neighbours and their distance in Å.
Sites, in units of the cell vectors:
P 0.0090 0.2272 0.4413  6 Cl 2.16-2.19
P 0.0090 0.2728 0.9413  6 Cl 2.16-2.19
P 0.0547 0.5286 0.3348  1 N 1.57
P 0.0547 0.9714 0.8348  1 N 1.57
P 0.0830 0.5389 0.8402  1 N 1.57
P 0.0830 0.9611 0.3402  1 N 1.57
P 0.4337 0.2142 0.3753  1 N 1.57
P 0.4337 0.2858 0.8753  1 N 1.57
P 0.4666 0.5219 0.7267  6 Cl 2.15-2.19
P 0.4666 0.9781 0.2267  6 Cl 2.15-2.19
P 0.4690 0.7264 0.4422  1 N 1.57
P 0.4690 0.7736 0.9422  1 N 1.57
P 0.5310 0.2264 0.0578  1 N 1.57
P 0.5310 0.2736 0.5578  1 N 1.57
P 0.5334 0.0219 0.7733  6 Cl 2.15-2.19
P 0.5334 0.4781 0.2733  6 Cl 2.15-2.19
P 0.5663 0.7142 0.1247  1 N 1.57
P 0.5663 0.7858 0.6247  1 N 1.57
P 0.9170 0.0389 0.6598  1 N 1.57
P 0.9170 0.4611 0.1598  1 N 1.57
P 0.9453 0.0286 0.1652  1 N 1.57
P 0.9453 0.4714 0.6652  1 N 1.57
P 0.9910 0.7272 0.0587  6 Cl 2.16-2.19
P 0.9910 0.7728 0.5587  6 Cl 2.16-2.19
N 0.0506 0.0137 0.2674  2 P 1.57
N 0.0506 0.4863 0.7674  2 P 1.57
N 0.4503 0.2372 0.9501  2 P 1.57
N 0.4503 0.2628 0.4501  2 P 1.57
N 0.5497 0.7372 0.5499  2 P 1.57
N 0.5497 0.7628 0.0499  2 P 1.57
N 0.9494 0.5137 0.2326  2 P 1.57
N 0.9494 0.9863 0.7326  2 P 1.57
Cl 0.0126 0.6052 0.3751  1 P 1.97
Cl 0.0135 0.7321 0.9352  1 P 2.19
Cl 0.0135 0.7679 0.4352  1 P 2.19
Cl 0.0126 0.8948 0.8751  1 P 1.97
Cl 0.0320 0.2230 0.3194  1 P 2.17
Cl 0.0320 0.2770 0.8194  1 P 2.17
Cl 0.0518 0.0568 0.6307  1 P 1.98
Cl 0.0518 0.4432 0.1307  1 P 1.98
Cl 0.0751 0.0346 0.9270  1 P 1.98
Cl 0.0751 0.4654 0.4270  1 P 1.98
Cl 0.1207 0.6166 0.7987  1 P 1.98
Cl 0.1207 0.8834 0.2987  1 P 1.98
Cl 0.1234 0.6522 0.1119  1 P 2.17
Cl 0.1234 0.8478 0.6119  1 P 2.17
Cl 0.1409 0.1974 0.9955  1 P 2.18
Cl 0.1409 0.3026 0.4955  1 P 2.18
Cl 0.1442 0.7091 0.6295  1 P 2.17
Cl 0.1442 0.7909 0.1295  1 P 2.17
Cl 0.1614 0.1637 0.5131  1 P 2.16
Cl 0.1614 0.3363 0.0131  1 P 2.16
Cl 0.2220 0.5388 0.3467  1 P 1.98
Cl 0.2220 0.9612 0.8467  1 P 1.98
Cl 0.2325 0.5157 0.9583  1 P 1.97
Cl 0.2325 0.9843 0.4583  1 P 1.97
Cl 0.2860 0.7209 0.3968  1 P 1.99
Cl 0.2860 0.7791 0.8968  1 P 1.99
Cl 0.2969 0.2398 0.2524  1 P 1.97
Cl 0.2969 0.2602 0.7524  1 P 1.97
Cl 0.3104 0.5833 0.6587  1 P 2.15
Cl 0.3104 0.9167 0.1587  1 P 2.15
Cl 0.3378 0.0549 0.1818  1 P 2.18
Cl 0.3378 0.4451 0.6818  1 P 2.18
Cl 0.3761 0.5403 0.2045  1 P 2.18
Cl 0.3761 0.9597 0.7045  1 P 2.18
Cl 0.3899 0.1323 0.4002  1 P 1.98
Cl 0.3899 0.3677 0.9002  1 P 1.98
Cl 0.4040 0.0979 0.7277  1 P 2.17
Cl 0.4040 0.4021 0.2277  1 P 2.17
Cl 0.4134 0.7038 0.1352  1 P 1.98
Cl 0.4134 0.7962 0.6352  1 P 1.98
Cl 0.4571 0.5280 0.8552  1 P 2.19
Cl 0.4571 0.9720 0.3552  1 P 2.19
Cl 0.4774 0.5152 0.5997  1 P 2.17
Cl 0.4774 0.9848 0.0997  1 P 2.17
Cl 0.4813 0.1489 0.0892  1 P 1.97
Cl 0.4813 0.3511 0.5892  1 P 1.97
Cl 0.4886 0.7090 0.8667  1 P 1.98
Cl 0.4886 0.7910 0.3667  1 P 1.98
Cl 0.5114 0.2090 0.6333  1 P 1.98
Cl 0.5114 0.2910 0.1333  1 P 1.98
Cl 0.5187 0.6489 0.4108  1 P 1.97
Cl 0.5187 0.8511 0.9108  1 P 1.97
Cl 0.5226 0.0152 0.9003  1 P 2.17
Cl 0.5226 0.4848 0.4003  1 P 2.17
Cl 0.5429 0.0280 0.6448  1 P 2.19
Cl 0.5429 0.4720 0.1448  1 P 2.19
Cl 0.5866 0.2038 0.3648  1 P 1.98
Cl 0.5866 0.2962 0.8648  1 P 1.98
Cl 0.5960 0.5979 0.7723  1 P 2.17
Cl 0.5960 0.9021 0.2723  1 P 2.17
Cl 0.6101 0.6323 0.0998  1 P 1.98
Cl 0.6101 0.8677 0.5998  1 P 1.98
Cl 0.6239 0.0403 0.2955  1 P 2.18
Cl 0.6239 0.4597 0.7955  1 P 2.18
Cl 0.6622 0.5549 0.3182  1 P 2.18
Cl 0.6622 0.9451 0.8182  1 P 2.18
Cl 0.6896 0.0833 0.8413  1 P 2.15
Cl 0.6896 0.4167 0.3413  1 P 2.15
Cl 0.7031 0.7398 0.2476  1 P 1.97
Cl 0.7031 0.7602 0.7476  1 P 1.97
Cl 0.7140 0.2209 0.1032  1 P 1.99
Cl 0.7140 0.2791 0.6032  1 P 1.99
Cl 0.7675 0.0157 0.5417  1 P 1.97
Cl 0.7675 0.4843 0.0417  1 P 1.97
Cl 0.7780 0.0388 0.1533  1 P 1.98
Cl 0.7780 0.4612 0.6533  1 P 1.98
Cl 0.8386 0.6637 0.9869  1 P 2.16
Cl 0.8386 0.8363 0.4869  1 P 2.16
Cl 0.8558 0.2091 0.8705  1 P 2.17
Cl 0.8558 0.2909 0.3705  1 P 2.17
Cl 0.8591 0.6974 0.5045  1 P 2.18
Cl 0.8591 0.8026 0.0045  1 P 2.18
Cl 0.8766 0.1522 0.3881  1 P 2.17
Cl 0.8766 0.3478 0.8881  1 P 2.17
Cl 0.8793 0.1166 0.7013  1 P 1.98
Cl 0.8793 0.3834 0.2013  1 P 1.98
Cl 0.9249 0.5346 0.5730  1 P 1.98
Cl 0.9249 0.9654 0.0730  1 P 1.98
Cl 0.9482 0.5568 0.8693  1 P 1.98
Cl 0.9482 0.9432 0.3693  1 P 1.98
Cl 0.9680 0.7230 0.1806  1 P 2.17
Cl 0.9680 0.7770 0.6806  1 P 2.17
Cl 0.9874 0.1052 0.1249  1 P 1.97
Cl 0.9865 0.2321 0.5648  1 P 2.19
Cl 0.9865 0.2679 0.0648  1 P 2.19
Cl 0.9874 0.3948 0.6249  1 P 1.97

As for the space group: No. 14. The crystal system is monoclinic. The value obtained for the total energy is -56.2 eV per formula unit. The density of states at the Fermi level is 0.00 states/eV per cell.


(11)
Computed, not measured: a relaxed P3NCl crystal at the GGA-PBE level of DFT.

abc: 4.6373 4.6373 4.6373
angles: 90.00 90.00 90.00
Last column: nearest neighbours and their distance in Å.
Sites, in units of the cell vectors:
P 0.0000 0.0000 0.5000  2 Cl 2.32
P 0.0000 0.5000 0.0000  2 Cl 2.32
P 0.5000 0.0000 0.0000  2 Cl 2.32
N 0.5000 0.5000 0.5000  12 P 3.28
Cl 0.0000 0.0000 0.0000  6 P 2.32

For the offset from the most stable computed form, the calculation gives 1.206 eV/atom. As for the space group: No. 221. The crystal system is cubic. The density of states at the Fermi level is 3.43 states/eV per cell.


(12)
Computed, not measured: a relaxed PNCl2 crystal at the GGA-PBE level of DFT.

abc: 16.4966 16.4966 6.4793
angles: 90.00 90.00 90.00
Last column: nearest neighbours and their distance in Å.
Sites, in units of the cell vectors:
P 0.0603 0.1012 0.1310  2 N 1.57-1.58
P 0.0602 0.6070 0.5130  2 N 1.57-1.58
P 0.1012 0.4397 0.3690  2 N 1.57-1.58
P 0.1070 0.9398 0.0130  2 N 1.57-1.58
P 0.3930 0.5602 0.0130  2 N 1.57-1.58
P 0.3988 0.0603 0.3690  2 N 1.57-1.58
P 0.4397 0.3988 0.1310  2 N 1.57-1.58
P 0.4398 0.8930 0.5130  2 N 1.57-1.58
P 0.5602 0.1070 0.4870  2 N 1.57-1.58
P 0.5603 0.6012 0.8690  2 N 1.57-1.58
P 0.6012 0.9397 0.6310  2 N 1.57-1.58
P 0.6070 0.4398 0.9870  2 N 1.57-1.58
P 0.8930 0.0602 0.9870  2 N 1.57-1.58
P 0.8988 0.5603 0.6310  2 N 1.57-1.58
P 0.9398 0.3930 0.4870  2 N 1.57-1.58
P 0.9397 0.8988 0.8690  2 N 1.57-1.58
N 0.0215 0.3864 0.3605  2 P 1.58
N 0.0223 0.8970 0.9897  2 P 1.57
N 0.1030 0.5223 0.4897  2 P 1.57
N 0.1136 0.0215 0.1395  2 P 1.58
N 0.3864 0.4785 0.1395  2 P 1.58
N 0.3970 0.9777 0.4897  2 P 1.57
N 0.4785 0.1136 0.3605  2 P 1.58
N 0.4777 0.6030 0.9897  2 P 1.57
N 0.5223 0.3970 0.0103  2 P 1.57
N 0.5215 0.8864 0.6395  2 P 1.58
N 0.6030 0.0223 0.5103  2 P 1.57
N 0.6136 0.5215 0.8605  2 P 1.58
N 0.8864 0.9785 0.8605  2 P 1.58
N 0.8970 0.4777 0.5103  2 P 1.57
N 0.9777 0.1030 0.0103  2 P 1.57
N 0.9785 0.6136 0.6395  2 P 1.58
Cl 0.0457 0.1375 0.4261  1 P 2.02
Cl 0.0474 0.6608 0.2331  1 P 2.03
Cl 0.1280 0.1912 0.0090  1 P 2.02
Cl 0.1375 0.4543 0.0739  1 P 2.02
Cl 0.1385 0.6805 0.6595  1 P 2.01
Cl 0.1608 0.9526 0.7331  1 P 2.03
Cl 0.1805 0.8615 0.1595  1 P 2.01
Cl 0.1912 0.3720 0.4910  1 P 2.02
Cl 0.3088 0.1280 0.4910  1 P 2.02
Cl 0.3195 0.6385 0.1595  1 P 2.01
Cl 0.3392 0.5474 0.7331  1 P 2.03
Cl 0.3615 0.8195 0.6595  1 P 2.01
Cl 0.3625 0.0457 0.0739  1 P 2.02
Cl 0.3720 0.3088 0.0090  1 P 2.02
Cl 0.4526 0.8392 0.2331  1 P 2.03
Cl 0.4543 0.3625 0.4261  1 P 2.02
Cl 0.5457 0.6375 0.5739  1 P 2.02
Cl 0.5474 0.1608 0.7669  1 P 2.03
Cl 0.6280 0.6912 0.9910  1 P 2.02
Cl 0.6375 0.9543 0.9261  1 P 2.02
Cl 0.6385 0.1805 0.3405  1 P 2.01
Cl 0.6608 0.4526 0.2669  1 P 2.03
Cl 0.6805 0.3615 0.8405  1 P 2.01
Cl 0.6912 0.8720 0.5090  1 P 2.02
Cl 0.8088 0.6280 0.5090  1 P 2.02
Cl 0.8195 0.1385 0.8405  1 P 2.01
Cl 0.8392 0.0474 0.2669  1 P 2.03
Cl 0.8615 0.3195 0.3405  1 P 2.01
Cl 0.8625 0.5457 0.9261  1 P 2.02
Cl 0.8720 0.8088 0.9910  1 P 2.02
Cl 0.9526 0.3392 0.7669  1 P 2.03
Cl 0.9543 0.8625 0.5739  1 P 2.02

For the offset from the most stable computed form, the calculation gives 0.005 eV/atom. As for the space group: No. 86. The crystal system is tetragonal. The density of states at the Fermi level is 0.00 states/eV per cell.


> Which formula does entry 5 have?

PNCl


Please write out number 7 again, unchanged.
Computed, not measured: a relaxed PNCl2 crystal at the GGA-PBE level of DFT.

abc: 9.3947 9.3947 9.3947
angles: 20.70 20.70 20.70
Last column: nearest neighbours and their distance in Å.
Sites, in units of the cell vectors:
P 0.0000 0.0000 0.0000  2 Cl 2.13
N 0.5000 0.5000 0.5000  6 Cl 3.14, 6 N 3.38
Cl 0.0774 0.0774 0.0774  1 P 2.13
Cl 0.9226 0.9226 0.9226  1 P 2.13

For the offset from the most stable computed form, the calculation gives 1.981 eV/atom. As for the space group: No. 166. The crystal system is trigonal. The density of states at the Fermi level is 1.63 states/eV per cell.


> What is the density of states at the Fermi level in the eleventh record?

3.43 states/eV per cell